{"formula": "Li2Mn3NiO8", "functional": "PBE with a Hubbard U", "state": "relaxed", "lattice_angstrom": [[8.307, 0.000, 0.000], [0.000, 8.307, 0.000], [0.000, 0.000, 8.307]], "species": ["O", "O", "O", "O", "O", "O", "O", "O", "O", "O", "O", "O", "O", "O", "O", "O", "O", "O", "O", "O", "O", "O", "O", "O", "O", "O", "O", "O", "O", "O", "O", "O", "Mn", "Mn", "Mn", "Mn", "Mn", "Mn", "Mn", "Mn", "Mn", "Mn", "Mn", "Mn", "Ni", "Ni", "Ni", "Ni", "Li", "Li", "Li", "Li", "Li", "Li", "Li", "Li"], "fractional_positions": [[0.865, 0.865, 0.865], [0.149, 0.857, 0.125], [0.351, 0.143, 0.625], [0.643, 0.875, 0.649], [0.615, 0.885, 0.115], [0.885, 0.115, 0.615], [0.365, 0.635, 0.135], [0.135, 0.365, 0.635], [0.601, 0.375, 0.607], [0.107, 0.899, 0.625], [0.875, 0.893, 0.399], [0.899, 0.625, 0.107], [0.607, 0.601, 0.375], [0.115, 0.615, 0.885], [0.857, 0.125, 0.149], [0.143, 0.625, 0.351], [0.385, 0.385, 0.385], [0.399, 0.875, 0.893], [0.375, 0.851, 0.357], [0.125, 0.393, 0.101], [0.101, 0.125, 0.393], [0.875, 0.649, 0.643], [0.393, 0.101, 0.125], [0.357, 0.375, 0.851], [0.635, 0.135, 0.365], [0.851, 0.357, 0.375], [0.893, 0.399, 0.875], [0.625, 0.351, 0.143], [0.649, 0.643, 0.875], [0.125, 0.149, 0.857], [0.625, 0.107, 0.899], [0.375, 0.607, 0.601], [0.625, 0.121, 0.129], [0.879, 0.629, 0.875], [0.129, 0.625, 0.121], [0.871, 0.125, 0.379], [0.375, 0.621, 0.371], [0.621, 0.371, 0.375], [0.371, 0.375, 0.621], [0.121, 0.129, 0.625], [0.875, 0.879, 0.629], [0.379, 0.871, 0.125], [0.629, 0.875, 0.879], [0.125, 0.379, 0.871], [0.125, 0.875, 0.375], [0.875, 0.375, 0.125], [0.625, 0.625, 0.625], [0.375, 0.125, 0.875], [0.503, 0.497, 0.997], [0.747, 0.253, 0.753], [0.253, 0.753, 0.747], [0.247, 0.247, 0.247], [0.753, 0.747, 0.253], [0.003, 0.003, 0.003], [0.497, 0.997, 0.503], [0.997, 0.503, 0.497]], "e_above_lowest_polymorph_mev_per_atom": 0, "crystal_system": "cubic", "vol_a3_per_fu": 143.3, "mass_density_g_cm3": 4.23}